Record 1
DFT (PBE) results for a relaxed structure of TePd3N.

Cell: 5.0208 5.0208 5.0208 Å, 90.00 90.00 90.00°
Sites, in units of the cell vectors:
Te  0.0000  0.0000  0.0000
Pd  0.0000  0.0000  0.5000
Pd  0.0000  0.5000  0.0000
Pd  0.5000  0.0000  0.0000
N  0.5000  0.5000  0.5000

Computed properties:
The calculation puts the formation energy (no corrections) at 7.13 eV/f.u. As for the space-group type: Pm-3m (221). As for the excess energy over the best structure of this formula in the dataset: 1183 meV per atom.


Record 2
DFT (PBE) results for a relaxed structure of TePd3N.

Cell: 4.2880 4.2880 4.2880 Å, 90.00 90.00 90.00°
Sites, in units of the cell vectors:
Te  0.0000  0.0000  0.0000
Pd  0.0000  0.5000  0.5000
Pd  0.5000  0.0000  0.5000
Pd  0.5000  0.5000  0.0000
N  0.5000  0.5000  0.5000

Computed properties:
The calculation puts the formation energy (no corrections) at 1.21 eV/f.u. As for the space-group type: Pm-3m (221). As for the excess energy over the best structure of this formula in the dataset: 0 meV per atom.